# 1
VASP calculation (PBE-GGA) on an optimized crystal structure of YTm2In3AgPd2.

Cell and atoms, written as extended XYZ:
```
9
Lattice="3.7435 0.0000 0.0000 0.0000 6.7845 3.9082 0.0000 -6.7845 3.9082" Properties=species:S:1:pos:R:3 pbc="T T T"
Pd 1.8717 -2.2957 3.9193
In 1.8717 -4.9471 4.9606
Tm 0.0000 -4.0196 2.3170
Pd 1.8717 2.2957 3.9193
Ag 0.0000 0.0000 7.8103
In 1.8717 0.0000 5.7004
In 1.8717 4.9471 4.9606
Y 0.0000 0.0000 3.1780
Tm 0.0000 4.0196 2.3170
```

## Properties
The calculation puts the final energy at -4.778 eV/atom. Its symmetry is Amm2 (38).

# 2
VASP calculation (PBE-GGA) on an optimized crystal structure of YInAgPd.

Cell and atoms, written as extended XYZ:
```
4
Lattice="0.0000 3.4481 3.4481 3.4481 0.0000 3.4481 3.4481 3.4481 0.0000" Properties=species:S:1:pos:R:3 pbc="T T T"
Ag 3.4481 3.4481 3.4481
Y 5.1722 5.1722 5.1722
Pd 1.7241 1.7241 1.7241
In 0.0000 0.0000 0.0000
```

## Properties
The calculation puts the final energy at -4.719 eV/atom. Its symmetry is F-43m (216).

# 3
VASP calculation (PBE-GGA) on an optimized crystal structure of YInAgPd.

Cell and atoms, written as extended XYZ:
```
4
Lattice="0.0000 3.4682 3.4682 3.4682 0.0000 3.4682 3.4682 3.4682 0.0000" Properties=species:S:1:pos:R:3 pbc="T T T"
Ag 1.7341 1.7341 1.7341
Pd 0.0000 0.0000 0.0000
Y 5.2024 5.2024 5.2024
In 3.4682 3.4682 3.4682
```

## Properties
The calculation puts the final energy at -4.717 eV/atom. Its symmetry is F-43m (216).

# 4
VASP calculation (PBE-GGA) on an optimized crystal structure of Y3In3Ag2Pd.

Cell and atoms, written as extended XYZ:
```
9
Lattice="7.8003 0.0000 0.0000 -3.9002 6.7553 0.0000 0.0000 0.0000 3.9229" Properties=species:S:1:pos:R:3 pbc="T T T"
Y -1.5616 2.7047 0.0000
In 1.0053 1.7413 1.9614
Ag 0.0000 4.5035 1.9614
Pd 0.0000 0.0000 0.0000
In -2.8948 5.0140 1.9614
Y 2.3386 4.0506 0.0000
Y 3.1231 0.0000 0.0000
Ag 3.9002 2.2518 1.9614
In 5.7897 0.0000 1.9614
```

## Properties
The calculation puts the final energy at -4.842 eV/atom. Its symmetry is P-62m (189).

# 5
VASP calculation (PBE-GGA) on an optimized crystal structure of Y3In3AgPd2.

Cell and atoms, written as extended XYZ:
```
9
Lattice="-7.6622 -0.6569 1.2750 5.0472 -1.4239 5.7676 -0.1449 3.7180 1.0447" Properties=species:S:1:pos:R:3 pbc="T T T"
In 3.6285 0.8149 4.7516
In -0.7700 1.3040 2.4008
In -5.6909 1.3773 1.4573
Y 2.0672 -0.5832 2.3622
Ag 0.0000 0.0000 0.0000
Pd -3.4982 0.9464 3.2949
Pd 0.7383 0.6908 4.7924
Y -1.5440 -1.2286 4.1582
Y -3.1382 -0.2690 0.5222
```

## Properties
The calculation puts the final energy at -5.234 eV/atom. Its symmetry is P-62m (189).

# 6
VASP calculation (PBE-GGA) on an optimized crystal structure of YInAgPd.

Cell and atoms, written as extended XYZ:
```
4
Lattice="0.0000 3.4520 3.4520 3.4520 0.0000 3.4520 3.4520 3.4520 0.0000" Properties=species:S:1:pos:R:3 pbc="T T T"
Y 5.1780 5.1780 5.1780
Pd 0.0000 0.0000 0.0000
Ag 3.4520 3.4520 3.4520
In 1.7260 1.7260 1.7260
```

## Properties
The calculation puts the final energy at -4.884 eV/atom. Its symmetry is F-43m (216).

# 7
VASP calculation (PBE-GGA) on an optimized crystal structure of Pm2InAg2.

Cell and atoms, written as extended XYZ:
```
10
Lattice="-0.8326 6.8918 -4.0283 -0.8456 -4.1035 -6.8457 -3.9169 -0.1410 0.5683" Properties=species:S:1:pos:R:3 pbc="T T T"
Pm -2.6733 -1.6371 -5.0311
Ag -1.2570 3.4662 -7.8032
In -0.8391 1.3941 -5.4370
Pm -2.3770 1.4619 -2.2203
Pm -2.9218 4.2843 -5.2746
Pm -3.2181 1.1853 -8.0854
Ag -0.4212 -0.6779 -3.0708
Ag -0.6260 3.7943 -3.3728
Ag -1.0522 -1.0060 -7.5012
In 0.0000 0.0000 0.0000
```

## Properties
The calculation puts the final energy at -3.950 eV/atom. Its symmetry is P4/mbm (127).

# 8
VASP calculation (PBE-GGA) on an optimized crystal structure of PmIn6Ag6.

Cell and atoms, written as extended XYZ:
```
13
Lattice="-5.4059 -3.8802 -3.4520 -3.4999 1.0845 6.5399 2.0622 4.5074 -5.6237" Properties=species:S:1:pos:R:3 pbc="T T T"
Ag -2.7029 -1.9401 -1.7260
Ag 1.0311 2.2537 -2.8119
In -4.4836 -0.5690 -3.5629
In -1.1539 0.2165 -3.1319
Ag -3.4218 0.8559 -1.2679
Ag -1.5001 2.9425 -1.6623
In -2.3601 2.2807 1.0271
In -5.8439 -1.8345 2.0263
In -2.1899 0.4108 -5.9438
Ag -1.7500 0.5422 3.2699
In -3.0619 -0.9612 1.0617
Pm 0.0000 0.0000 0.0000
Ag -5.3436 -1.2308 -0.8735
```

## Properties
The calculation puts the final energy at -3.116 eV/atom. Its symmetry is Immm (71).

# 9
VASP calculation (PBE-GGA) on an optimized crystal structure of Pm2In3Ag.

Cell and atoms, written as extended XYZ:
```
6
Lattice="-2.3590 -0.5190 2.7495 -2.2885 -3.5189 -2.6277 5.2147 -5.9007 3.3604" Properties=species:S:1:pos:R:3 pbc="T T T"
Ag 1.7173 -1.9432 1.1066
In 3.4258 -3.8765 2.2076
In -0.2253 -2.7993 -0.7217
Pm -1.1685 -0.2720 1.3819
Pm 0.2804 -4.9657 1.7390
In 3.2152 -6.6925 1.4954
```

## Properties
The calculation puts the final energy at -3.881 eV/atom. Its symmetry is Pmm2 (25).

# 10
VASP calculation (PBE-GGA) on an optimized crystal structure of PrInAg.

Cell and atoms, written as extended XYZ:
```
3
Lattice="0.0000 3.4712 3.4712 3.4712 0.0000 3.4712 3.4712 3.4712 0.0000" Properties=species:S:1:pos:R:3 pbc="T T T"
Ag 0.0000 0.0000 0.0000
In 1.7356 1.7356 1.7356
Pr 5.2069 5.2069 5.2069
```

## Properties
The calculation puts the final energy at -3.752 eV/atom. Its symmetry is F-43m (216).

# 11
VASP calculation (PBE-GGA) on an optimized crystal structure of PrIn2Ag2.

Cell and atoms, written as extended XYZ:
```
10
Lattice="-4.1515 1.6598 -0.9282 -0.6440 -3.3241 -3.0638 -4.5339 -6.7261 8.2506" Properties=species:S:1:pos:R:3 pbc="T T T"
Ag -2.3977 -0.8322 -1.9960
In -2.2669 -3.3631 4.1253
Ag -3.7148 -1.6017 2.5186
In -4.2492 -7.4882 5.6147
In -2.6824 -0.0702 0.6399
Pr -5.4966 -4.2450 5.7611
Pr -1.4350 -3.3133 0.4935
In -4.6647 -4.1952 2.1293
Ag 0.0000 0.0000 0.0000
Ag -3.2168 -5.9566 3.7360
```

## Properties
The calculation puts the final energy at -3.459 eV/atom. Its symmetry is P4/nmm (129).

# 12
VASP calculation (PBE-GGA) on an optimized crystal structure of PrInAg.

Cell and atoms, written as extended XYZ:
```
3
Lattice="0.0000 3.6082 3.6082 3.6082 0.0000 3.6082 3.6082 3.6082 0.0000" Properties=species:S:1:pos:R:3 pbc="T T T"
In 5.4123 5.4123 5.4123
Ag 1.8041 1.8041 1.8041
Pr 0.0000 0.0000 0.0000
```

## Properties
The calculation puts the final energy at -3.331 eV/atom. Its symmetry is F-43m (216).

# 13
VASP calculation (PBE-GGA) on an optimized crystal structure of PrIn2Ag2.

Cell and atoms, written as extended XYZ:
```
5
Lattice="4.4828 -4.7612 2.2481 -1.4155 -6.6544 1.2385 -0.7983 4.9992 -4.7107" Properties=species:S:1:pos:R:3 pbc="T T T"
In -0.3400 -3.6816 -0.8644
Ag 1.8642 -6.9382 2.1191
Pr 0.0000 0.0000 0.0000
Ag 1.2031 -4.4775 1.3675
In 2.6091 -2.7350 -0.3596
```

## Properties
The calculation puts the final energy at -3.449 eV/atom. Its symmetry is I4/mmm (139).

# 14
VASP calculation (PBE-GGA) on an optimized crystal structure of PrIn6Ag6.

Cell and atoms, written as extended XYZ:
```
13
Lattice="-2.9237 4.8621 4.9284 2.9237 -4.8621 4.9284 2.9237 4.8621 -4.9284" Properties=species:S:1:pos:R:3 pbc="T T T"
In 0.0000 0.0000 6.4539
In 0.0000 0.0000 3.4029
Ag 2.9237 2.2525 0.0000
Ag 1.4619 -2.4310 2.4642
In 0.0000 6.3663 0.0000
Pr 0.0000 0.0000 0.0000
In 0.0000 4.8621 3.0748
In 2.9237 0.0000 1.8536
Ag 0.0000 2.6096 4.9284
Ag 1.4619 2.4310 2.4642
Ag 1.4619 2.4310 -2.4642
Ag -1.4619 2.4310 2.4642
In 0.0000 3.3579 0.0000
```

## Properties
The calculation puts the final energy at -3.127 eV/atom. Its symmetry is Immm (71).

# 15
VASP calculation (PBE-GGA) on an optimized crystal structure of Pr3In4Ag4.

Cell and atoms, written as extended XYZ:
```
11
Lattice="-2.3564 3.7609 7.7556 2.3564 -3.7609 7.7556 2.3564 3.7609 -7.7556" Properties=species:S:1:pos:R:3 pbc="T T T"
Pr 0.0000 0.0000 9.7623
Ag 2.3564 -2.3037 5.0998
Ag 2.3564 2.3037 5.0998
Pr 0.0000 0.0000 5.7490
Ag 0.0000 6.0647 2.6559
In 0.0000 2.3284 0.0000
In 0.0000 3.7609 4.4059
Ag 0.0000 1.4572 2.6559
In 2.3564 0.0000 3.3497
Pr 2.3564 0.0000 0.0000
In 0.0000 5.1935 0.0000
```

## Properties
The calculation puts the final energy at -3.667 eV/atom. Its symmetry is Immm (71).

# 16
VASP calculation (PBE-GGA) on an optimized crystal structure of Pr3In3Ag2Pt.

Cell and atoms, written as extended XYZ:
```
9
Lattice="7.8505 0.0000 0.0000 -3.9253 6.7987 0.0000 0.0000 0.0000 4.1656" Properties=species:S:1:pos:R:3 pbc="T T T"
Pt 0.0000 0.0000 0.0000
In 5.8959 0.0000 2.0828
Pr 2.3470 4.0651 0.0000
Ag 0.0000 4.5325 2.0828
In -2.9480 5.1060 2.0828
Ag 3.9253 2.2663 2.0828
Pr 3.1566 0.0000 0.0000
In 0.9773 1.6927 2.0828
Pr -1.5783 2.7337 0.0000
```

## Properties
The calculation puts the final energy at -4.381 eV/atom. Its symmetry is P-62m (189).

# 17
VASP calculation (PBE-GGA) on an optimized crystal structure of Tb2PrIn3AgPt2.

Cell and atoms, written as extended XYZ:
```
9
Lattice="-2.4374 2.6748 -1.3084 -6.1196 -4.4292 2.3454 3.1895 5.3118 4.9173" Properties=species:S:1:pos:R:3 pbc="T T T"
Pr -1.2035 0.3625 2.9831
In -6.4708 -1.6655 2.9909
Tb 1.8776 3.1285 2.8977
Tb -3.6047 -2.6082 1.3830
Pt -1.1016 3.4405 3.4270
In -3.3749 1.9869 4.6902
In 0.3337 5.4547 4.8709
Pt -4.2752 0.1197 2.5502
Ag -2.9247 0.8810 7.2493
```

## Properties
The calculation puts the final energy at -4.938 eV/atom. Its symmetry is Amm2 (38).

# 18
VASP calculation (PBE-GGA) on an optimized crystal structure of Pr2TmIn3AgPt2.

Cell and atoms, written as extended XYZ:
```
9
Lattice="-2.1050 1.4331 -2.9909 -2.3320 -7.2747 -1.8445 -4.2458 4.2819 5.0399" Properties=species:S:1:pos:R:3 pbc="T T T"
In -2.1820 1.8181 -0.1726
Ag -0.0279 -0.0127 0.0136
In -5.8859 -1.4826 0.8526
Pr -5.6110 0.0066 3.9522
Pt -4.0127 -2.6138 -1.0078
Pr -4.8227 -4.7538 1.1164
In -1.6844 -1.1865 -1.9625
Pt -4.6236 1.0752 1.1898
Tm -2.7234 -1.2391 1.3230
```

## Properties
The calculation puts the final energy at -4.916 eV/atom. Its symmetry is Amm2 (38).

# 19
VASP calculation (PBE-GGA) on an optimized crystal structure of PrTm2In3AgPt2.

Cell and atoms, written as extended XYZ:
```
9
Lattice="-0.9839 -3.6691 0.1180 6.7439 -1.6891 3.7131 -6.4620 1.8650 4.1092" Properties=species:S:1:pos:R:3 pbc="T T T"
In -5.1328 -0.4265 5.1440
Pr 0.1156 0.0722 3.2085
In -0.2847 -1.7052 5.8103
Pt -2.6276 -1.1333 4.0556
In 4.5050 -3.0203 4.8550
Tm 3.9706 -0.9943 2.1900
Tm -3.8044 1.0981 2.4231
Ag 0.2812 0.1755 7.8008
Pt 1.9268 -2.3591 3.9190
```

## Properties
The calculation puts the final energy at -4.892 eV/atom. Its symmetry is Amm2 (38).

# 20
VASP calculation (PBE-GGA) on an optimized crystal structure of In3AgPt.

Cell and atoms, written as extended XYZ:
```
10
Lattice="-7.2125 3.7159 -4.1213 6.2261 -4.4846 -4.8926 -2.6926 -4.4762 0.6764" Properties=species:S:1:pos:R:3 pbc="T T T"
In -2.5596 -0.9853 -6.4559
Ag -0.6732 -1.1190 0.1691
Ag -2.0195 -3.3571 0.5073
In -2.0816 -0.6128 -2.0873
In -1.1194 -4.2595 -1.8816
Pt -3.4061 -0.1366 -4.2093
Pt -0.2729 -5.1082 -4.1282
In -1.5974 -4.6321 -6.2502
In -5.5772 1.1882 -4.0847
In 1.8982 -6.4330 -4.2528
```

## Properties
The calculation puts the final energy at -3.008 eV/atom. Its symmetry is P6_3/mmc (194).

# 21
VASP calculation (PBE-GGA) on an optimized crystal structure of InAgPt2.

Cell and atoms, written as extended XYZ:
```
4
Lattice="0.0000 3.2575 3.2575 3.2575 0.0000 3.2575 3.2575 3.2575 0.0000" Properties=species:S:1:pos:R:3 pbc="T T T"
Pt 0.0000 0.0000 0.0000
In 3.2575 3.2575 3.2575
Pt 4.8862 4.8862 4.8862
Ag 1.6288 1.6288 1.6288
```

## Properties
The calculation puts the final energy at -4.597 eV/atom. Its symmetry is F-43m (216).

# 22
VASP calculation (PBE-GGA) on an optimized crystal structure of InAg3PtS4.

Cell and atoms, written as extended XYZ:
```
9
Lattice="5.9408 0.0000 0.0000 0.0000 5.9408 0.0000 0.0000 0.0000 5.9408" Properties=species:S:1:pos:R:3 pbc="T T T"
S 1.5138 4.4270 4.4270
S 4.4270 1.5138 4.4270
In 0.0000 0.0000 0.0000
S 1.5138 1.5138 1.5138
Pt 2.9704 2.9704 2.9704
Ag 0.0000 2.9704 2.9704
S 4.4270 4.4270 1.5138
Ag 2.9704 2.9704 0.0000
Ag 2.9704 0.0000 2.9704
```

## Properties
The calculation puts the final energy at -3.732 eV/atom. Its symmetry is P-43m (215).

# 23
VASP calculation (PBE-GGA) on an optimized crystal structure of InAgTe2PtS.

Cell and atoms, written as extended XYZ:
```
12
Lattice="-3.3833 5.6795 1.0061 -0.2979 -6.6768 0.2153 3.5581 0.1921 10.8805" Properties=species:S:1:pos:R:3 pbc="T T T"
Te 0.5545 4.1714 11.6426
In 1.8992 -4.6445 8.4965
Pt -1.8406 -0.4987 0.6107
Te -1.1360 4.0801 6.4730
Pt -0.0615 -0.4026 6.0510
Te 1.0130 -4.8853 5.6289
S 0.7882 -0.1953 8.7813
Te -0.6776 -4.9766 0.4593
Ag -0.1977 3.7530 9.0340
In -2.0223 3.8393 3.6054
Ag 0.0746 -4.5582 3.0679
S -0.9113 -0.6099 3.3206
```

## Properties
The calculation puts the final energy at -3.848 eV/atom. Its symmetry is Cmcm (63).

# 24
VASP calculation (PBE-GGA) on an optimized crystal structure of InAgTePtS2.

Cell and atoms, written as extended XYZ:
```
12
Lattice="-7.0621 2.0657 -0.9493 6.8495 -1.4144 -2.4749 -2.8356 -10.5340 -1.8275" Properties=species:S:1:pos:R:3 pbc="T T T"
Te -2.0791 -7.6134 -3.0996
Te -0.9691 -2.2694 -2.1521
S 2.4678 -11.4813 -4.1175
Ag -6.7608 -6.4422 -2.5862
Pt -1.5241 -4.9414 -2.6258
S -5.5160 1.5986 -1.1341
S -6.8932 -3.5178 -2.0218
In 2.3244 -8.7150 -3.5825
Pt -0.1063 0.3256 -1.7121
In -5.3726 -1.1678 -1.6692
S 3.8450 -6.3649 -3.2299
Ag 3.7126 -3.4406 -2.6655
```

## Properties
The calculation puts the final energy at -4.052 eV/atom. Its symmetry is Cmcm (63).